(1)
# TbDy2InRh4 (PBE, relaxed)
data_TbDy2InRh4
_chemical_formula_sum 'Tb3 Dy6 In3 Rh12'
_space_group_name_H-M_alt 'R -3 m'
_space_group_IT_number 166
_space_group_name_Hall '-R 3 2"'
_cell_length_a 4.7883
_cell_length_b 4.7883
_cell_length_c 23.3008
_cell_angle_alpha 90.00
_cell_angle_beta 90.00
_cell_angle_gamma 120.00
loop_
_atom_site_label
_atom_site_type_symbol
_atom_site_fract_x
_atom_site_fract_y
_atom_site_fract_z
_atom_site_occupancy
Tb1 Tb 0.0000 0.0000 0.0000 1
Dy1 Dy 0.0000 0.0000 0.2449 1
In1 In 0.0000 0.0000 0.5000 1
Rh1 Rh 0.0000 0.0000 0.1238 1
Rh2 Rh 0.0000 0.0000 0.3759 1
# **Size of the total moment**: 0.00 Bohr magnetons per cell
# **Density of states at the Fermi level**: 6.9 states/eV per cell


(2)
# TbDyInRh (PBE, relaxed)
data_TbDyInRh
_chemical_formula_sum 'Tb1 Dy1 In1 Rh1'
_space_group_name_H-M_alt 'P 4 m m'
_space_group_IT_number 99
_cell_length_a 3.538
_cell_length_b 3.538
_cell_length_c 7.534
_cell_angle_alpha 90.00
_cell_angle_beta 90.00
_cell_angle_gamma 90.00
loop_
_space_group_symop_operation_xyz
'x,y,z'
'-y,x,z'
'-x,-y,z'
'y,-x,z'
'-x,y,z'
'y,x,z'
'x,-y,z'
'-y,-x,z'
loop_
_atom_site_label
_atom_site_type_symbol
_atom_site_fract_x
_atom_site_fract_y
_atom_site_fract_z
_atom_site_occupancy
Tb1 Tb 0.000 0.000 0.000 1
Dy1 Dy 0.000 0.000 0.566 1
In1 In 0.500 0.500 0.284 1
Rh1 Rh 0.500 0.500 0.780 1
# **Size of the total moment**: 0.00 Bohr magnetons per cell
# **Density of states at the Fermi level**: 1.5 states/eV per cell
# **Relative energy among the computed polymorphs**: 0.000 eV/atom


(3)
# Dy2Ti2InRh5 (PBE, relaxed)
data_Dy2Ti2InRh5
_chemical_formula_sum 'Dy4 Ti4 In2 Rh10'
_space_group_name_H-M_alt 'P 4/m b m'
_space_group_IT_number 127
_space_group_name_Hall '-P 4 2ab'
_cell_length_a 9.986
_cell_length_b 9.986
_cell_length_c 3.643
_cell_angle_alpha 90.00
_cell_angle_beta 90.00
_cell_angle_gamma 90.00
loop_
_atom_site_label
_atom_site_type_symbol
_atom_site_fract_x
_atom_site_fract_y
_atom_site_fract_z
_atom_site_occupancy
Dy1 Dy 0.181 0.319 0.000 1
Ti1 Ti 0.118 0.618 0.000 1
In1 In 0.000 0.000 0.000 1
Rh1 Rh 0.000 0.500 0.500 1
Rh2 Rh 0.065 0.788 0.500 1
# **Size of the total moment**: 0.00 Bohr magnetons per cell
# **Density of states at the Fermi level**: 7.2 states/eV per cell


Number 1: ΔH_f (0 K) -0.8002 eV per atom. Number 2: ΔH_f (0 K) -0.6733 eV per atom. Number 3: ΔH_f (0 K) -0.6260 eV per atom.